# PBE BRhS3, optimized geometry
# Calculated density: 5.1 g/cm3
# Calculated total energy: -4.470 eV per atom
# Magnetization: 0.00 μB/cell
# DOS at the Fermi energy: 3.95 states/eV/f.u.
# Crystal system: cubic
# Formation energy from raw total energies: 0.8122 eV per atom
# Volume: 68.2 Å³ per cell
data_BRhS3
_chemical_formula_sum 'B1 Rh1 S3'
_symmetry_space_group_name_H-M 'P m -3 m'
_symmetry_Int_Tables_number 221
_symmetry_space_group_name_Hall '-P 4 2 3'
_cell_length_a 4.086
_cell_length_b 4.086
_cell_length_c 4.086
_cell_angle_alpha 90.00
_cell_angle_beta 90.00
_cell_angle_gamma 90.00
loop_
_atom_site_label
_atom_site_type_symbol
_atom_site_fract_x
_atom_site_fract_y
_atom_site_fract_z
B1 B 0.000 0.000 0.000
Rh1 Rh 0.500 0.500 0.500
S1 S 0.000 0.000 0.500